Entry from Alexandria via LeMat-Bulk: Li2TmAlGe2 after structural relaxation (GGA-PBE).

a b c (Å): 4.1381 7.9446 6.9813
angles (deg): 90.00 90.00 90.00
Closest atoms and distances in Å follow each position.
Fractional coordinates of all 12 atoms:
Li  0.0000  0.0799  0.0000  5 Ge 2.86-3.08, 4 Li 3.13-3.16, 1 Al 3.17
Li  0.0000  0.9201  0.5000  5 Ge 2.86-3.08, 4 Li 3.13-3.16, 1 Al 3.17
Li  0.5000  0.1718  0.3252  4 Ge 2.63-2.69
Li  0.5000  0.8282  0.8252  4 Ge 2.63-2.69
Tm  0.5000  0.4335  0.9495  5 Ge 2.86-2.97, 2 Al 3.14
Tm  0.5000  0.5665  0.4495  5 Ge 2.86-2.97, 2 Al 3.14
Al  0.0000  0.3068  0.6145  4 Ge 2.53-2.69
Al  0.0000  0.6932  0.1145  4 Ge 2.53-2.69
Ge  0.0000  0.3726  0.2378  2 Al 2.68-2.69, 3 Li 2.68-2.86, 4 Tm 2.93-2.97
Ge  0.0000  0.6274  0.7378  2 Al 2.68-2.69, 3 Li 2.68-2.86, 4 Tm 2.93-2.97
Ge  0.5000  0.1423  0.7083  2 Al 2.53, 2 Li 2.63-2.69
Ge  0.5000  0.8577  0.2083  2 Al 2.53, 2 Li 2.63-2.69

energy of formation	-3.107	eV per formula unit
volume	229.5	Å³/cell
DFT total energy	-4.06	eV/atom
magnetization	0.0	Bohr magnetons per cell